This record from the Alexandria database describes a relaxed Ac2SnSb4 crystal. The functional is PBE.

a b c (Å): 4.507 4.507 11.970
angles (deg): 90.00 90.00 90.00
Sites, in units of the cell vectors:
Sb (0.500, 0.000, 0.175)
Ac (0.500, 0.000, 0.721)
Sb (0.500, 0.500, 0.500)
Ac (0.000, 0.500, 0.279)
Sb (0.000, 0.500, 0.825)
Sb (0.000, 0.000, 0.500)
Sn (0.500, 0.500, 0.000)

The calculation puts the magnetization at 0.00 μB/f.u. The uncorrected formation energy is -64 kJ per mole of atoms.



This record from the Alexandria database describes a relaxed LiInGa2 crystal. The functional is PBE.

a b c (Å): 4.450 4.450 5.333
angles (deg): 65.34 65.34 60.00
Sites, in units of the cell vectors:
Ga (0.270, 0.270, 0.190)
In (0.491, 0.491, 0.528)
Ga (0.043, 0.043, 0.870)
Li (0.696, 0.696, 0.912)

The calculation puts the magnetization at 0.00 μB/f.u. The energy of formation from the pure elements is -0.31 eV/f.u.



This record from the Alexandria database describes a relaxed La3TbYTm crystal. The functional is PBE.

a b c (Å): 5.195 8.100 10.874
angles (deg): 116.07 90.00 90.00
Sites, in units of the cell vectors:
Y (0.750, 0.880, 0.707)
Tm (0.250, 0.629, 0.126)
La (0.750, 0.373, 0.542)
La (0.250, 0.127, 0.957)
La (0.250, 0.627, 0.458)
Y (0.250, 0.120, 0.293)
Tb (0.250, 0.124, 0.623)
Tm (0.750, 0.371, 0.874)
La (0.750, 0.873, 0.043)
Tb (0.750, 0.876, 0.377)
La (0.750, 0.380, 0.206)
La (0.250, 0.620, 0.794)

The calculation puts the magnetization at 0.00 μB/f.u. The energy of formation from the pure elements is 0.20 eV/f.u.



This record from the Alexandria database describes a relaxed ZrBeW crystal. The functional is PBE.

a b c (Å): 4.140 4.140 4.140
angles (deg): 60.00 60.00 60.00
Sites, in units of the cell vectors:
W (0.000, 0.000, 0.000)
Zr (0.500, 0.500, 0.500)
Be (0.750, 0.750, 0.750)

The calculation puts the magnetization at 0.00 μB/f.u. The energy of formation from the pure elements is 1.32 eV/f.u.



Taking the records one at a time from the top gives energy values of -0.175, -0.101, -0.185, -0.293 Ha/atom.